(1)
Compound: Be2GaPd
Source: Alexandria via LeMat-Bulk
Functional: PBE-GGA
Structure: relaxed

Cell and atoms, written as CIF:
```
data_Be2GaPd
_symmetry_space_group_name_H-M 'P 1'
_symmetry_Int_Tables_number 1
_cell_length_a 2.8814
_cell_length_b 4.1971
_cell_length_c 4.6502
_cell_angle_alpha 87.36
_cell_angle_beta 72.14
_cell_angle_gamma 70.77
loop_
_symmetry_equiv_pos_as_xyz
'x,y,z'
loop_
_atom_site_label
_atom_site_type_symbol
_atom_site_fract_x
_atom_site_fract_y
_atom_site_fract_z
Be1 Be 0.0000 0.0000 0.0000
Be2 Be 0.1107 0.5030 0.2533
Ga1 Ga 0.6800 0.0851 0.5246
Pd1 Pd 0.8043 0.5495 0.8253
```

Size of the total moment ... 0.00 μB per cell
E_form ... -0.17 eV per atom
DOS(E_F) ... 0.365 states/eV/atom
Crystal system ... triclinic

---

(2)
Compound: FeTc2As
Source: Alexandria via LeMat-Bulk
Functional: PBE-GGA
Structure: relaxed

Cell and atoms, written as CIF:
```
data_FeTc2As
_symmetry_space_group_name_H-M 'C 1 2/m 1'
_symmetry_Int_Tables_number 12
_cell_length_a 8.3795
_cell_length_b 2.8871
_cell_length_c 4.7794
_cell_angle_alpha 90.00
_cell_angle_beta 99.69
_cell_angle_gamma 90.00
loop_
_symmetry_equiv_pos_as_xyz
'x,y,z'
'-x,-y,-z'
'-x,y,-z'
'x,-y,z'
'x+1/2,y+1/2,z'
'-x+1/2,-y+1/2,-z'
'-x+1/2,y+1/2,-z'
'x+1/2,-y+1/2,z'
loop_
_atom_site_label
_atom_site_type_symbol
_atom_site_fract_x
_atom_site_fract_y
_atom_site_fract_z
Fe1 Fe 0.0000 0.0000 0.0000
Tc1 Tc 0.2422 0.5000 0.2368
As1 As 0.0000 0.5000 0.5000
```

Size of the total moment ... 5.18 μB per cell
E_form ... 0.16 eV per atom
Energy above the lowest structure with this stoichiometry ... 147.1 meV per atom
DOS(E_F) ... 1.048 states/eV/atom
Crystal system ... monoclinic

---

(3)
Compound: Tb6PrIn3
Source: Alexandria via LeMat-Bulk
Functional: PBE-GGA
Structure: relaxed

Cell and atoms, written as CIF:
```
data_Tb6PrIn3
_symmetry_space_group_name_H-M 'C m c 21'
_symmetry_Int_Tables_number 36
_cell_length_a 12.6045
_cell_length_b 14.2690
_cell_length_c 6.7807
_cell_angle_alpha 90.00
_cell_angle_beta 90.00
_cell_angle_gamma 90.00
loop_
_symmetry_equiv_pos_as_xyz
'x,y,z'
'-x,-y,z+1/2'
'-x,y,z'
'x,-y,z+1/2'
'x+1/2,y+1/2,z'
'-x+1/2,-y+1/2,z+1/2'
'-x+1/2,y+1/2,z'
'x+1/2,-y+1/2,z+1/2'
loop_
_atom_site_label
_atom_site_type_symbol
_atom_site_fract_x
_atom_site_fract_y
_atom_site_fract_z
Tb1 Tb 0.0000 0.0779 0.0000
Tb2 Tb 0.0000 0.3065 0.2851
Tb3 Tb 0.2214 0.4740 0.2715
Tb4 Tb 0.2294 0.2154 0.0979
Pr1 Pr 0.0000 0.2953 0.7666
In1 In 0.0000 0.4985 0.0277
In2 In 0.1148 0.1204 0.4812
```

Size of the total moment ... 0.00 μB per cell
E_form ... -0.20 eV per atom
DOS(E_F) ... 1.223 states/eV/atom
Crystal system ... orthorhombic

---

(4)
Compound: Re2AgSb
Source: Alexandria via LeMat-Bulk
Functional: PBE-GGA
Structure: relaxed

Cell and atoms, written as CIF:
```
data_Re2AgSb
_symmetry_space_group_name_H-M 'P 4 m m'
_symmetry_Int_Tables_number 99
_cell_length_a 3.0254
_cell_length_b 3.0254
_cell_length_c 8.1059
_cell_angle_alpha 90.00
_cell_angle_beta 90.00
_cell_angle_gamma 90.00
loop_
_symmetry_equiv_pos_as_xyz
'x,y,z'
'-y,x,z'
'-x,-y,z'
'y,-x,z'
'-x,y,z'
'y,x,z'
'x,-y,z'
'-y,-x,z'
loop_
_atom_site_label
_atom_site_type_symbol
_atom_site_fract_x
_atom_site_fract_y
_atom_site_fract_z
Re1 Re 0.0000 0.0000 0.0000
Re2 Re 0.5000 0.5000 0.1810
Ag1 Ag 0.5000 0.5000 0.7431
Sb1 Sb 0.0000 0.0000 0.4363
```

Size of the total moment ... 0.00 μB per cell
Formation energy without anion corrections ... 0.392 eV per atom
DOS(E_F) ... 0.576 states/eV/atom
Crystal system ... tetragonal

---

(5)
Compound: Li2ScGaO
Source: Alexandria via LeMat-Bulk
Functional: PBE-GGA
Structure: relaxed

Cell and atoms, written as CIF:
```
data_Li2ScGaO
_symmetry_space_group_name_H-M 'P 4/m m m'
_symmetry_Int_Tables_number 123
_symmetry_space_group_name_Hall '-P 4 2'
_cell_length_a 4.2028
_cell_length_b 4.2028
_cell_length_c 4.1266
_cell_angle_alpha 90.00
_cell_angle_beta 90.00
_cell_angle_gamma 90.00
loop_
_atom_site_label
_atom_site_type_symbol
_atom_site_fract_x
_atom_site_fract_y
_atom_site_fract_z
Li1 Li 0.0000 0.5000 0.0000
Sc1 Sc 0.0000 0.0000 0.5000
Ga1 Ga 0.5000 0.5000 0.5000
O1 O 0.0000 0.0000 0.0000
```

Size of the total moment ... 0.00 μB per cell
Formation energy without anion corrections ... -1.259 eV per atom
DOS(E_F) ... 0.735 states/eV/atom
Crystal system ... tetragonal

---

(6)
Compound: Pr2GdBi
Source: Alexandria via LeMat-Bulk
Functional: PBE-GGA
Structure: relaxed

Cell and atoms, written as CIF:
```
data_Pr2GdBi
_symmetry_space_group_name_H-M 'P 4/m m m'
_symmetry_Int_Tables_number 123
_symmetry_space_group_name_Hall '-P 4 2'
_cell_length_a 4.2607
_cell_length_b 4.2607
_cell_length_c 7.2383
_cell_angle_alpha 90.00
_cell_angle_beta 90.00
_cell_angle_gamma 90.00
loop_
_atom_site_label
_atom_site_type_symbol
_atom_site_fract_x
_atom_site_fract_y
_atom_site_fract_z
Pr1 Pr 0.0000 0.0000 0.2297
Gd1 Gd 0.5000 0.5000 0.5000
Bi1 Bi 0.5000 0.5000 0.0000
```

Size of the total moment ... 8.40 μB per cell
E_form ... -0.39 eV per atom
Energy above the lowest structure with this stoichiometry ... 34.0 meV per atom
DOS(E_F) ... 1.553 states/eV/atom
Crystal system ... tetragonal

---

(7)
Compound: CrAgOs2
Source: Alexandria via LeMat-Bulk
Functional: PBE-GGA
Structure: relaxed

Cell and atoms, written as CIF:
```
data_CrAgOs2
_symmetry_space_group_name_H-M 'I 4/m m m'
_symmetry_Int_Tables_number 139
_symmetry_space_group_name_Hall '-I 4 2'
_cell_length_a 3.8617
_cell_length_b 3.8617
_cell_length_c 7.7017
_cell_angle_alpha 90.00
_cell_angle_beta 90.00
_cell_angle_gamma 90.00
loop_
_atom_site_label
_atom_site_type_symbol
_atom_site_fract_x
_atom_site_fract_y
_atom_site_fract_z
Cr1 Cr 0.0000 0.0000 0.0000
Ag1 Ag 0.0000 0.0000 0.5000
Os1 Os 0.0000 0.5000 0.2500
```

Size of the total moment ... 0.01 μB per cell
E_form ... 0.64 eV per atom
Energy above the lowest structure with this stoichiometry ... 369.8 meV per atom
DOS(E_F) ... 1.098 states/eV/atom
Crystal system ... tetragonal

---

(8)
Compound: InSiRu2
Source: Alexandria via LeMat-Bulk
Functional: PBE-GGA
Structure: relaxed

Cell and atoms, written as CIF:
```
data_InSiRu2
_symmetry_space_group_name_H-M 'C 1 2/m 1'
_symmetry_Int_Tables_number 12
_cell_length_a 7.9263
_cell_length_b 3.0205
_cell_length_c 5.4902
_cell_angle_alpha 90.00
_cell_angle_beta 103.72
_cell_angle_gamma 90.00
loop_
_symmetry_equiv_pos_as_xyz
'x,y,z'
'-x,-y,-z'
'-x,y,-z'
'x,-y,z'
'x+1/2,y+1/2,z'
'-x+1/2,-y+1/2,-z'
'-x+1/2,y+1/2,-z'
'x+1/2,-y+1/2,z'
loop_
_atom_site_label
_atom_site_type_symbol
_atom_site_fract_x
_atom_site_fract_y
_atom_site_fract_z
In1 In 0.0000 0.0000 0.0000
Si1 Si 0.0000 0.5000 0.5000
Ru1 Ru 0.2328 0.0000 0.6946
```

Size of the total moment ... 0.00 μB per cell
Formation energy without anion corrections ... -0.092 eV per atom
DOS(E_F) ... 0.426 states/eV/atom
Crystal system ... monoclinic

---

(9)
Compound: InMoSCl2
Source: Alexandria via LeMat-Bulk
Functional: PBE-GGA
Structure: relaxed

Cell and atoms, written as CIF:
```
data_InMoSCl2
_symmetry_space_group_name_H-M 'P 4/m m m'
_symmetry_Int_Tables_number 123
_symmetry_space_group_name_Hall '-P 4 2'
_cell_length_a 5.0677
_cell_length_b 5.0677
_cell_length_c 5.1292
_cell_angle_alpha 90.00
_cell_angle_beta 90.00
_cell_angle_gamma 90.00
loop_
_atom_site_label
_atom_site_type_symbol
_atom_site_fract_x
_atom_site_fract_y
_atom_site_fract_z
In1 In 0.0000 0.0000 0.0000
Mo1 Mo 0.5000 0.5000 0.5000
S1 S 0.0000 0.0000 0.5000
Cl1 Cl 0.0000 0.5000 0.0000
```

Size of the total moment ... 4.73 μB per cell
Formation energy without anion corrections ... 0.379 eV per atom
Energy above the lowest structure with this stoichiometry ... 771.8 meV per atom
DOS(E_F) ... 0.290 states/eV/atom
Crystal system ... tetragonal

---

(10)
Compound: La4Pm5Mg
Source: Alexandria via LeMat-Bulk
Functional: PBE-GGA
Structure: relaxed

Cell and atoms, written as CIF:
```
data_La4Pm5Mg
_symmetry_space_group_name_H-M 'P 4/m m m'
_symmetry_Int_Tables_number 123
_symmetry_space_group_name_Hall '-P 4 2'
_cell_length_a 4.2737
_cell_length_b 4.2737
_cell_length_c 18.7829
_cell_angle_alpha 90.00
_cell_angle_beta 90.00
_cell_angle_gamma 90.00
loop_
_atom_site_label
_atom_site_type_symbol
_atom_site_fract_x
_atom_site_fract_y
_atom_site_fract_z
La1 La 0.0000 0.0000 0.1046
La2 La 0.0000 0.0000 0.2980
Pm1 Pm 0.5000 0.5000 0.0000
Pm2 Pm 0.5000 0.5000 0.2066
Pm3 Pm 0.5000 0.5000 0.4085
Mg1 Mg 0.0000 0.0000 0.5000
```

Size of the total moment ... 0.00 μB per cell
E_form ... 0.07 eV per atom
Energy above the lowest structure with this stoichiometry ... 0.0 meV per atom
DOS(E_F) ... 1.802 states/eV/atom
Crystal system ... tetragonal

---

- Which of these has the highest DOS(E_F)?
  La4Pm5Mg

---

- What is the formula in the tenth record?
  La4Pm5Mg